Computed, not measured: a geometry-optimized La4PmY7 structure at the PBE level of DFT.

The density is 5.177 g/cm3. For the energy, the calculation gives -133.20 eV/cell. As for the magnetic moment: 0.003 Bohr magnetons per cell.

The structure belongs to space group C2/m (No. 12); the cell edges are 12.196, 5.973 and 13.063 Å and the angles 90.00°, 116.90° and 90.00°. The asymmetric unit holds La at (0.090, 0.000, 0.291), La at (0.138, 0.500, 0.775), Pm at (0.000, 0.500, 0.000), Y at (0.000, 0.000, 0.000), Y at (0.132, 0.500, 0.485), Y at (0.164, 0.000, 0.631) and Y at (0.212, 0.000, 0.917).

Computed, not measured: a geometry-optimized La5Pm2Y2 structure at the PBE level of DFT.

The density is 6.148 g/cm3. Its energy relative to the lowest polymorph listed for this composition is 1.444 eV/f.u. For the energy, the calculation gives -181.79 eV/cell. As for the magnetic moment: 0.000 Bohr magnetons per cell.

The structure belongs to space group Ima2 (No. 46); the cell edges are 15.053, 11.897 and 7.012 Å and the angles 90.00°, 90.00° and 90.00°. The asymmetric unit holds La at (0.051, 0.235, 0.000), La at (0.144, 0.727, 0.660), La at (0.250, 0.245, 0.173), Pm at (0.000, 0.000, 0.347), Pm at (0.250, 0.505, 0.878) and Y at (0.128, 0.506, 0.323).

Computed, not measured: a geometry-optimized La2Pm3Y7 structure at the PBE level of DFT.

The density is 5.466 g/cm3. Its energy relative to the lowest polymorph listed for this composition is 0.000 eV/f.u. For the energy, the calculation gives -68.33 eV/cell. As for the magnetic moment: 0.000 Bohr magnetons per cell.

The structure belongs to space group P2/m (No. 10); the cell edges are 6.441, 3.562 and 17.781 Å and the angles 90.00°, 96.12° and 90.00°. The asymmetric unit holds La at (0.054, 0.000, 0.173), Pm at (0.456, 0.500, 0.841), Pm at (0.500, 0.000, 0.500), Y at (0.000, 0.500, 0.500), Y at (0.227, 0.000, 0.665), Y at (0.256, 0.000, 0.000) and Y at (0.275, 0.500, 0.338).

Computed, not measured: a geometry-optimized La10Pm4Y structure at the PBE level of DFT.

The density is 5.496 g/cm3. For the energy, the calculation gives -130.12 eV/cell. As for the magnetic moment: 0.001 Bohr magnetons per cell.

The structure belongs to space group I4/m (No. 87); the cell edges are 12.527, 12.527 and 7.925 Å and the angles 90.00°, 90.00° and 90.00°. The asymmetric unit holds La at (0.000, 0.500, 0.250), La at (0.100, 0.800, 0.250), Pm at (0.100, 0.300, 0.000) and Y at (0.000, 0.000, 0.500).